(1)
First-principles (GGA-PBEsol) data for an optimized crystal structure of CoAs2, as listed in Alexandria.

Computed properties:
Formation energy (eV per atom): 0.597
Space group: P6_3/mmc, No. 194
Spin magnetization (μB per formula unit): 1.59
Volume (Å³ per cell): 94

Lattice parameters (Å, degrees): 4.557 4.557 5.251 90.00 90.00 120.00
Last column: magnetic moment on the atom in μB.
Sites, in units of the cell vectors:
1 As 0.333 0.667 0.509  0.01
2 As 0.667 0.333 0.009  0.01
3 As 0.667 0.333 0.491  0.01
4 As 0.333 0.667 0.991  0.01
5 Co 0.000 0.000 0.750  1.58
6 Co 0.000 0.000 0.250  1.58

***

(2)
First-principles (GGA-PBEsol) data for an optimized crystal structure of CoAs2, as listed in Alexandria.

Computed properties:
Formation energy (eV per atom): -0.391
Space group: P2_1/c, No. 14
Spin magnetization (μB per formula unit): 0.00
Volume (Å³ per cell): 180

Lattice parameters (Å, degrees): 5.808 5.853 5.912 116.21 90.00 90.00
Sites, in units of the cell vectors:
1 As 0.637 0.843 0.675
2 As 0.137 0.157 0.825
3 As 0.363 0.157 0.325
4 As 0.863 0.843 0.175
5 As 0.365 0.653 0.869
6 As 0.865 0.347 0.631
7 As 0.635 0.347 0.131
8 As 0.135 0.653 0.369
9 Co 0.000 0.772 0.787
10 Co 0.500 0.228 0.713
11 Co 0.000 0.228 0.213
12 Co 0.500 0.772 0.287

***

(3)
First-principles (GGA-PBEsol) data for an optimized crystal structure of CoAs3, as listed in Alexandria.

Computed properties:
Formation energy (eV per atom): -0.353
ΔE to the lowest computed polymorph (meV/atom): 0
Space group: Im-3, No. 204
Spin magnetization (μB per formula unit): 0.00
Volume (Å³ per cell): 271

Lattice parameters (Å, degrees): 7.064 7.064 7.064 109.47 109.47 109.47
Sites, in units of the cell vectors:
1 As 0.847 0.341 0.188
2 As 0.847 0.659 0.507
3 As 0.153 0.341 0.493
4 As 0.153 0.659 0.812
5 As 0.507 0.847 0.659
6 As 0.188 0.847 0.341
7 As 0.812 0.153 0.659
8 As 0.493 0.153 0.341
9 As 0.659 0.812 0.153
10 As 0.341 0.493 0.153
11 As 0.659 0.507 0.847
12 As 0.341 0.188 0.847
13 Co 0.500 0.000 0.000
14 Co 0.000 0.000 0.500
15 Co 0.500 0.500 0.500
16 Co 0.000 0.500 0.000

***

What is the spin magnetization in the third record?
0.00 μB per formula unit